Computed, not measured: crystalline AcHo12In6 at its relaxed geometry at the PBE level of DFT.

Summary:
**Fermi-level density of states**: 80.3 states/eV/cell
**E_form**: -2.14 kcal/mol of atoms

abc: 13.8512 13.8512 11.2903
angles: 90.00 90.00 120.00
Space group R-3m (No. 166, hexagonal axes)
Unique sites:
Ac 0.0000 0.0000 0.0000 (multiplicity 3)
Ho 0.0000 0.3753 0.5000 (multiplicity 18)
Ho 0.0896 0.1792 0.3607 (multiplicity 18)
In 0.0286 0.5143 0.2748 (multiplicity 18)